[1]
The following is a GGA-PBE calculation of a relaxed structure of Pm3Zn5Ni6, from the Alexandria database.

Cell lengths 4.200, 8.962, 12.333 Å; angles 90.00, 90.00, 90.00 degrees
Space group Immm (No. 71)
Inequivalent atoms, fractional coordinates:
Pm: 0.000 0.000 0.000 (multiplicity 2)
Pm: 0.000 0.000 0.318 (multiplicity 4)
Zn: 0.000 0.342 0.319 (multiplicity 8)
Zn: 0.000 0.500 0.000 (multiplicity 2)
Ni: 0.000 0.210 0.500 (multiplicity 4)
Ni: 0.000 0.274 0.109 (multiplicity 8)

Output
Formation energy = -0.365 eV per atom
Crystal system = orthorhombic

=====

[2]
The following is a GGA-PBE calculation of a relaxed structure of RbTa2PW, from the Alexandria database.

Cell lengths 4.804, 4.804, 4.720 Å; angles 90.00, 90.00, 90.00 degrees
Space group P4/mmm (No. 123)
Inequivalent atoms, fractional coordinates:
Rb: 0.000 0.000 0.000 (multiplicity 1)
Ta: 0.000 0.500 0.000 (multiplicity 2)
P: 0.500 0.500 0.500 (multiplicity 1)
W: 0.000 0.000 0.500 (multiplicity 1)

Output
Formation energy = 3.611 eV per atom
Crystal system = tetragonal

=====

[3]
The following is a GGA-PBE calculation of a relaxed structure of Hg2WBr, from the Alexandria database.

Cell lengths 7.332, 7.332, 7.332 Å; angles 90.00, 90.00, 90.00 degrees
Space group Fm-3m (No. 225)
Inequivalent atoms, fractional coordinates:
Hg: 0.250 0.250 0.250 (multiplicity 8)
W: 0.000 0.000 0.000 (multiplicity 4)
Br: 0.000 0.000 0.500 (multiplicity 4)

Output
Raw formation energy = 1.277 eV/atom
Energy above the most stable polymorph in this dataset = 780 meV/atom
Crystal system = cubic

=====

[4]
The following is a GGA-PBE calculation of a relaxed structure of TaMnSnS6, from the Alexandria database.

Cell lengths 6.2183, 6.2183, 5.6435 Å; angles 90.00, 90.00, 120.00 degrees
Space group P312 (No. 149)
Inequivalent atoms, fractional coordinates:
Ta: 0.0000 0.0000 0.0000 (multiplicity 1)
Mn: 0.3333 0.6667 0.0000 (multiplicity 1)
Sn: 0.6667 0.3333 0.5000 (multiplicity 1)
S: 0.0458 0.3442 0.2424 (multiplicity 6)

Output
Raw formation energy = -0.536 eV/atom
Crystal system = trigonal

=====

[5]
The following is a GGA-PBE calculation of a relaxed structure of NaTiI2N, from the Alexandria database.

Cell lengths 5.825, 5.825, 3.822 Å; angles 90.00, 90.00, 90.00 degrees
Space group P4/mmm (No. 123)
Inequivalent atoms, fractional coordinates:
Na: 0.000 0.000 0.000 (multiplicity 1)
Ti: 0.500 0.500 0.500 (multiplicity 1)
I: 0.000 0.500 0.500 (multiplicity 2)
N: 0.500 0.500 0.000 (multiplicity 1)

Output
Raw formation energy = -0.576 eV/atom
Energy above the most stable polymorph in this dataset = 0 meV/atom
Crystal system = tetragonal

=====

[6]
The following is a GGA-PBE calculation of a relaxed structure of RbLiPa2Se5, from the Alexandria database.

Cell lengths 7.959, 7.959, 15.036 Å; angles 90.00, 90.00, 90.00 degrees
Space group I4/mcm (No. 140)
Inequivalent atoms, fractional coordinates:
Rb: 0.000 0.000 0.250 (multiplicity 4)
Li: 0.000 0.500 0.250 (multiplicity 4)
Pa: 0.158 0.342 0.000 (multiplicity 8)
Se: 0.000 0.000 0.000 (multiplicity 4)
Se: 0.146 0.354 0.378 (multiplicity 16)

Output
Raw formation energy = -1.394 eV/atom
Crystal system = tetragonal

=====

[7]
The following is a GGA-PBE calculation of a relaxed structure of CaPr5In5, from the Alexandria database.

Cell lengths 18.255, 5.877, 7.060 Å; angles 90.00, 112.45, 90.00 degrees
Space group C2/m (No. 12)
Inequivalent atoms, fractional coordinates:
Ca: 0.000 0.000 0.000 (multiplicity 2)
Pr: 0.000 0.000 0.500 (multiplicity 2)
Pr: 0.140 0.500 0.642 (multiplicity 4)
Pr: 0.189 0.500 0.191 (multiplicity 4)
In: 0.000 0.500 0.000 (multiplicity 2)
In: 0.163 0.000 0.386 (multiplicity 4)
In: 0.163 0.000 0.941 (multiplicity 4)

Output
Formation energy = -0.232 eV per atom
Crystal system = monoclinic

=====

[8]
The following is a GGA-PBE calculation of a relaxed structure of CsMgHg2Pd, from the Alexandria database.

Cell lengths 5.512, 5.512, 5.155 Å; angles 90.00, 90.00, 90.00 degrees
Space group P4/mmm (No. 123)
Inequivalent atoms, fractional coordinates:
Cs: 0.000 0.000 0.000 (multiplicity 1)
Mg: 0.500 0.500 0.000 (multiplicity 1)
Hg: 0.000 0.500 0.500 (multiplicity 2)
Pd: 0.500 0.500 0.500 (multiplicity 1)

Output
Formation energy = -0.240 eV per atom
Crystal system = tetragonal

=====

[9]
The following is a GGA-PBE calculation of a relaxed structure of Ta3Ni4PbS12, from the Alexandria database.

Cell lengths 12.8633, 12.8633, 9.2462 Å; angles 90.00, 90.00, 120.00 degrees
Space group R32 (No. 155, hexagonal axes)
Inequivalent atoms, fractional coordinates:
Ta: 0.0000 0.5521 0.0000 (multiplicity 9)
Ni: 0.0000 0.0000 0.5000 (multiplicity 3)
Ni: 0.0000 0.4400 0.5000 (multiplicity 9)
Pb: 0.0000 0.0000 0.0000 (multiplicity 3)
S: 0.0000 0.6032 0.5000 (multiplicity 9)
S: 0.0000 0.8355 0.5000 (multiplicity 9)
S: 0.0522 0.2145 0.1852 (multiplicity 18)

Output
Raw formation energy = -0.409 eV/atom
Crystal system = trigonal

=====

[10]
The following is a GGA-PBE calculation of a relaxed structure of ScZnRh2, from the Alexandria database.

Cell lengths 9.625, 3.167, 4.293 Å; angles 90.00, 108.99, 90.00 degrees
Space group Cm (No. 8)
Inequivalent atoms, fractional coordinates:
Sc: 0.000 0.000 0.000 (multiplicity 2)
Zn: 0.233 0.000 0.654 (multiplicity 2)
Rh: 0.248 0.500 0.165 (multiplicity 2)
Rh: 0.495 0.000 0.511 (multiplicity 2)

Output
Formation energy = -0.619 eV per atom
Crystal system = monoclinic

=====

[11]
The following is a GGA-PBE calculation of a relaxed structure of BaGa2Sn6, from the Alexandria database.

Cell lengths 4.879, 4.879, 10.513 Å; angles 90.00, 90.00, 90.00 degrees
Space group P4/mmm (No. 123)
Inequivalent atoms, fractional coordinates:
Ba: 0.000 0.000 0.000 (multiplicity 1)
Ga: 0.500 0.500 0.122 (multiplicity 2)
Sn: 0.000 0.000 0.500 (multiplicity 1)
Sn: 0.000 0.500 0.280 (multiplicity 4)
Sn: 0.500 0.500 0.500 (multiplicity 1)

Output
Formation energy = -0.172 eV per atom
Crystal system = tetragonal

=====

[12]
The following is a GGA-PBE calculation of a relaxed structure of SrY2Ir, from the Alexandria database.

Cell lengths 12.489, 3.771, 5.667 Å; angles 90.00, 116.39, 90.00 degrees
Space group Cm (No. 8)
Inequivalent atoms, fractional coordinates:
Sr: 0.000 0.000 0.000 (multiplicity 2)
Y: 0.196 0.000 0.686 (multiplicity 2)
Y: 0.383 0.000 0.387 (multiplicity 2)
Ir: 0.213 0.500 0.311 (multiplicity 2)

Output
Energy above the most stable polymorph in this dataset = 187 meV/atom
Formation energy = -0.213 eV per atom
Crystal system = monoclinic